! Mg2ScFe (PBE, optimized geometry); values from VASP
! * SG: R-3m (166)
! * energy: -4.236 eV per atom
! * Fermi-level density of states: 3.6 states/eV/cell
&SYSTEM
  ibrav = 0, nat = 4, ntyp = 3
/
ATOMIC_SPECIES
Mg 24.30 Mg.upf
Sc 44.96 Sc.upf
Fe 55.84 Fe.upf
ATOMIC_POSITIONS angstrom
Mg 0.000 0.000 7.091
Mg 0.000 0.000 22.417
Sc 0.000 0.000 0.000
Fe 0.000 0.000 14.754
CELL_PARAMETERS angstrom
1.513 0.874 9.836
-1.513 0.874 9.836
0.000 -1.747 9.836

! MgScFe2Sn (PBE, optimized geometry); values from VASP
! * SG: P4/mmm (123)
! * energy: -4.668 eV per atom
! * Fermi-level density of states: 5.1 states/eV/cell
&SYSTEM
  ibrav = 0, nat = 5, ntyp = 4
/
ATOMIC_SPECIES
Mg 24.30 Mg.upf
Sc 44.96 Sc.upf
Fe 55.84 Fe.upf
Sn 118.71 Sn.upf
ATOMIC_POSITIONS angstrom
Mg 0.000 0.000 0.000
Sc 0.000 0.000 2.659
Fe 0.000 2.260 2.659
Fe 2.260 0.000 2.659
Sn 2.260 2.260 0.000
CELL_PARAMETERS angstrom
4.520 0.000 0.000
0.000 4.520 0.000
0.000 0.000 5.318

! SrMgSc2Fe (PBE, optimized geometry); values from VASP
! * SG: P4/mmm (123)
! * energy: -4.826 eV per atom
! * Fermi-level density of states: 3.3 states/eV/cell
&SYSTEM
  ibrav = 0, nat = 5, ntyp = 4
/
ATOMIC_SPECIES
Sr 87.62 Sr.upf
Mg 24.30 Mg.upf
Sc 44.96 Sc.upf
Fe 55.84 Fe.upf
ATOMIC_POSITIONS angstrom
Sr 0.000 0.000 0.000
Mg 2.434 2.434 0.000
Sc 0.000 2.434 2.651
Sc 2.434 0.000 2.651
Fe 2.434 2.434 2.651
CELL_PARAMETERS angstrom
4.868 0.000 0.000
0.000 4.868 0.000
0.000 0.000 5.303

! Y2MgScFe (PBE, optimized geometry); values from VASP
! * SG: P4/mmm (123)
! * energy: -5.799 eV per atom
! * Fermi-level density of states: 2.8 states/eV/cell
&SYSTEM
  ibrav = 0, nat = 5, ntyp = 4
/
ATOMIC_SPECIES
Y 88.91 Y.upf
Mg 24.30 Mg.upf
Sc 44.96 Sc.upf
Fe 55.84 Fe.upf
ATOMIC_POSITIONS angstrom
Y 0.000 2.619 0.000
Y 2.619 0.000 0.000
Mg 0.000 0.000 2.421
Sc 2.619 2.619 2.421
Fe 2.619 2.619 0.000
CELL_PARAMETERS angstrom
5.238 0.000 0.000
0.000 5.238 0.000
0.000 0.000 4.842

| no. | energy of formation from the pure elements (eV/f.u.) |
| --- | --- |
| 1 | 1.0 |
| 2 | 5.5 |
| 3 | 0.3 |
| 4 | 0.3 |